Record 1
VASP calculation (PBE) on a geometry-optimized MgScNiHg structure.

Geometry as extended XYZ:
```
4
Lattice="4.6803 0.0000 0.0000 2.3402 4.0533 0.0000 2.3402 1.3511 3.8215" Properties=species:S:1:pos:R:3 pbc="T T T"
Sc 0.0000 0.0000 0.0000
Ni 2.3402 1.3511 0.9554
Hg 7.0205 4.0533 2.8661
Mg 4.6803 2.7022 1.9107
```

Values from the calculation:
ΔH_f (0 K): -1.1 eV per formula unit
crystal system: cubic
electronic total energy: -3.789 eV per atom
space-group type: No. 216

=====

Record 2
VASP calculation (PBE) on a geometry-optimized Mg2Sc5Ni2Hg structure.

Geometry as extended XYZ:
```
20
Lattice="3.3668 0.0000 0.0000 0.0000 11.1802 0.0000 0.0000 0.0000 11.1802" Properties=species:S:1:pos:R:3 pbc="T T T"
Mg 0.0000 3.6449 9.2350
Mg 0.0000 7.5353 1.9452
Mg 0.0000 1.9452 3.6449
Mg 0.0000 9.2350 7.5353
Sc 1.6834 8.8259 10.3724
Sc 1.6834 4.7823 3.2358
Sc 1.6834 6.3979 7.9445
Sc 1.6834 3.2358 6.3979
Sc 1.6834 0.0000 5.5901
Sc 1.6834 0.8078 8.8259
Sc 1.6834 5.5901 0.0000
Sc 1.6834 2.3544 0.8078
Sc 1.6834 7.9445 4.7823
Sc 1.6834 10.3724 2.3544
Ni 0.0000 7.0197 9.7507
Ni 0.0000 9.7507 4.1606
Ni 0.0000 1.4295 7.0197
Ni 0.0000 4.1606 1.4295
Hg 0.0000 5.5901 5.5901
Hg 0.0000 0.0000 0.0000
```

Values from the calculation:
ΔH_f (0 K): -3.1 eV per formula unit
crystal system: tetragonal
electronic total energy: -4.985 eV per atom
space-group type: No. 127

=====

Record 3
VASP calculation (PBE) on a geometry-optimized Mg2NiSnHg structure.

Geometry as extended XYZ:
```
5
Lattice="4.9916 0.0000 0.0000 0.0000 4.9916 0.0000 0.0000 0.0000 4.7327" Properties=species:S:1:pos:R:3 pbc="T T T"
Sn 0.0000 0.0000 2.3664
Ni 0.0000 0.0000 0.0000
Hg 2.4958 2.4958 2.3664
Mg 2.4958 0.0000 0.0000
Mg 0.0000 2.4958 0.0000
```

Values from the calculation:
ΔH_f (0 K): -0.5 eV per formula unit
crystal system: tetragonal
electronic total energy: -2.753 eV per atom
space-group type: No. 123

=====

Record 4
VASP calculation (PBE) on a geometry-optimized MgNiSn2Hg structure.

Geometry as extended XYZ:
```
5
Lattice="4.9351 0.0000 0.0000 0.0000 4.9351 0.0000 0.0000 0.0000 4.9829" Properties=species:S:1:pos:R:3 pbc="T T T"
Mg 0.0000 0.0000 2.4915
Sn 2.4675 0.0000 0.0000
Sn 0.0000 2.4675 0.0000
Hg 2.4675 2.4675 2.4915
Ni 0.0000 0.0000 0.0000
```

Values from the calculation:
ΔH_f (0 K): -0.2 eV per formula unit
crystal system: tetragonal
electronic total energy: -3.184 eV per atom
space-group type: No. 123

=====

Record 5
VASP calculation (PBE) on a geometry-optimized SrMg2NiHg structure.

Geometry as extended XYZ:
```
5
Lattice="4.9241 0.0000 0.0000 0.0000 4.9241 0.0000 0.0000 0.0000 5.1450" Properties=species:S:1:pos:R:3 pbc="T T T"
Ni 0.0000 0.0000 0.0000
Mg 0.0000 2.4620 0.0000
Mg 2.4620 0.0000 0.0000
Hg 0.0000 0.0000 2.5725
Sr 2.4620 2.4620 2.5725
```

Values from the calculation:
ΔH_f (0 K): -0.7 eV per formula unit
crystal system: tetragonal
electronic total energy: -2.333 eV per atom
space-group type: No. 123

=====

Record 6
VASP calculation (PBE) on a geometry-optimized TmMgNiHg structure.

Geometry as extended XYZ:
```
4
Lattice="4.8096 0.0000 0.0000 2.4048 4.1653 0.0000 2.4048 1.3884 3.9270" Properties=species:S:1:pos:R:3 pbc="T T T"
Tm 7.2144 4.1653 2.9453
Hg 4.8096 2.7768 1.9635
Ni 0.0000 0.0000 0.0000
Mg 2.4048 1.3884 0.9818
```

Values from the calculation:
ΔH_f (0 K): -1.1 eV per formula unit
crystal system: cubic
electronic total energy: -3.322 eV per atom
space-group type: No. 216

=====

Record 7
VASP calculation (PBE) on a geometry-optimized MgVNi2Hg structure.

Geometry as extended XYZ:
```
5
Lattice="-3.1676 1.5809 -2.5429 -3.3225 -0.4533 3.8569 0.9675 4.0436 1.3087" Properties=species:S:1:pos:R:3 pbc="T T T"
Ni -1.5838 0.7905 -1.2714
Ni 0.4838 2.0218 0.6544
Hg -2.7613 2.5856 1.3114
V 0.0000 0.0000 0.0000
Mg -1.6612 -0.2267 1.9285
```

Values from the calculation:
ΔH_f (0 K): 4.7 eV per formula unit
crystal system: tetragonal
electronic total energy: -3.575 eV per atom
space-group type: No. 123

=====

Record 8
VASP calculation (PBE) on a geometry-optimized MgZrNiHg structure.

Geometry as extended XYZ:
```
4
Lattice="-4.5204 -0.9864 -0.8130 -1.3123 -1.7429 -4.1602 -1.4050 -4.4699 -0.3363" Properties=species:S:1:pos:R:3 pbc="T T T"
Zr -5.4283 -5.3995 -3.9822
Ni 0.0000 0.0000 0.0000
Hg -3.6189 -3.5996 -2.6548
Mg -1.8094 -1.7998 -1.3274
```

Values from the calculation:
ΔH_f (0 K): -0.8 eV per formula unit
crystal system: cubic
electronic total energy: -4.253 eV per atom
space-group type: No. 216

=====

Record 9
VASP calculation (PBE) on a geometry-optimized Mg4NpHg5 structure.

Geometry as extended XYZ:
```
10
Lattice="-1.0008 3.1688 -1.0478 -3.2982 -1.1063 -0.1957 -2.6635 4.8803 17.3027" Properties=species:S:1:pos:R:3 pbc="T T T"
Hg -3.4812 3.4713 8.0296
Hg -2.4628 1.6053 1.4135
Hg -4.4997 5.3374 14.6458
Hg -2.9733 2.5406 4.7298
Hg -3.9892 4.4021 11.3295
Mg -0.5698 1.0441 3.7018
Mg -1.0789 1.9768 7.0088
Mg -1.5846 2.9034 10.2939
Mg -2.0936 3.8361 13.6009
Np 0.0000 0.0000 0.0000
```

Values from the calculation:
ΔH_f (0 K): -1.2 eV per formula unit
crystal system: tetragonal
electronic total energy: -2.206 eV per atom
space-group type: No. 123

=====

Record 10
VASP calculation (PBE) on a geometry-optimized MgNpHg2O6 structure.

Geometry as extended XYZ:
```
20
Lattice="5.6193 0.0000 -0.0400 0.0000 5.7268 0.0000 -0.0086 0.0000 8.2019" Properties=species:S:1:pos:R:3 pbc="T T T"
Hg 2.7883 2.6667 2.0413
Hg 0.0171 5.5301 2.0396
Hg 5.5936 0.1967 6.1223
Hg 2.8224 3.0601 6.1205
O 4.5381 4.5752 7.7256
O 3.9225 1.7407 7.7509
O 4.4934 4.6041 4.4919
O 1.6881 3.9861 0.4110
O 0.5422 2.6155 6.1436
O 3.8778 1.7118 4.5172
O 1.1172 1.1227 3.6700
O 5.0684 3.1113 2.0183
O 2.2545 5.4789 6.1392
O 3.3561 0.2479 2.0227
O 1.7328 4.0150 3.6447
O 1.0725 1.1516 0.4362
Mg 2.8096 0.0000 -0.0200
Mg -0.0043 2.8634 4.1009
Np 0.0000 2.8634 0.0000
Np 2.8053 0.0000 4.0809
```

Values from the calculation:
formation energy without anion corrections: -1.713 eV/atom
crystal system: monoclinic
electronic total energy: -6.202 eV per atom
space-group type: No. 14

=====

Record 11
VASP calculation (PBE) on a geometry-optimized MgNpHgO6 structure.

Geometry as extended XYZ:
```
18
Lattice="-2.7789 -0.1172 -4.6979 -1.1357 -3.6109 3.9342 -6.4328 6.0057 3.6552" Properties=species:S:1:pos:R:3 pbc="T T T"
O -3.4207 -1.5427 -0.0423
O -6.9267 3.8203 2.9337
O -6.6151 1.4136 1.9004
O -3.7322 0.8640 0.9911
O -6.2012 0.2314 4.5714
O -6.3165 2.8249 5.6430
O -8.4310 1.5360 4.0395
O -4.0309 -0.5473 -2.7516
O -4.1461 2.0462 -1.6800
O -1.9164 0.7416 -1.1481
O -4.5576 2.5215 3.7011
O -5.7897 -0.2439 -0.8097
Hg 0.0000 0.0000 0.0000
Hg -3.2164 3.0029 1.8276
Mg -3.2916 -0.9449 1.9706
Mg -7.0557 3.2225 0.9208
Np -3.8393 0.2196 -0.9068
Np -6.5080 2.0579 3.7982
```

Values from the calculation:
formation energy without anion corrections: -1.786 eV/atom
crystal system: trigonal
electronic total energy: -6.740 eV per atom
space-group type: No. 163

=====

Record 12
VASP calculation (PBE) on a geometry-optimized MgNpTlHg structure.

Geometry as extended XYZ:
```
4
Lattice="-0.1689 5.1609 0.6566 -4.3221 2.2507 1.8299 -0.0541 2.0125 4.8002" Properties=species:S:1:pos:R:3 pbc="T T T"
Tl 0.0000 0.0000 0.0000
Mg -3.4089 7.0681 5.4650
Np -1.1363 2.3560 1.8217
Hg -2.2726 4.7121 3.6433
```

Values from the calculation:
ΔH_f (0 K): 0.4 eV per formula unit
crystal system: cubic
electronic total energy: -4.201 eV per atom
space-group type: No. 216

=====

Per-record magnetization, μB per formula unit: 0.0; 0.0; 0.0; 0.0; 0.0; 0.0; 1.9; 0.0; 4.7; 1.0; 0.0; 4.2